Ba2Ge3BiAu4 | PBE | relaxed

The structure in POSCAR format:
```
Ba2Ge3BiAu4
1.0
4.736 0.000 0.000
0.000 4.736 0.000
0.000 0.000 11.210
Au Ge Ba Bi
4 3 2 1
direct
0.500 0.000 0.652
0.000 0.500 0.348
0.500 0.500 0.000
0.000 0.000 0.000
0.000 0.000 0.500
0.000 0.500 0.116
0.500 0.000 0.884
0.000 0.500 0.764
0.500 0.000 0.236
0.500 0.500 0.500
```

calculated density = 9.8 Mg/m³
energy of formation = -0.4929 eV per atom